Record 1
This record from the Alexandria database describes a geometry-optimized ZnSi2 structure. The functional is PBE-GGA.

Lattice parameters (Å, degrees): 3.6213 3.6213 4.5906 90.00 90.00 120.00
Fractional coordinates of all 3 atoms:
Zn: 0.0000 0.0000 0.0000
Si: 0.3333 0.6667 0.3757
Si: 0.6667 0.3333 0.6243

Properties
Energy ... -3.7442 eV per atom
Formation energy from raw total energies ... 0.2958 eV/atom
Density ... 3.9 g/cm3
Space group ... No. 164

---

Record 2
This record from the Alexandria database describes a geometry-optimized ZnSi structure. The functional is PBE-GGA.

Lattice parameters (Å, degrees): 9.2071 4.6282 4.8029 90.00 90.00 90.00
Fractional coordinates of all 12 atoms:
Zn: 0.0000 0.1865 0.0000
Zn: 0.1446 0.5888 0.3142
Zn: 0.3554 0.4112 0.8142
Zn: 0.5000 0.8135 0.5000
Zn: 0.6446 0.4112 0.8142
Zn: 0.8554 0.5888 0.3142
Si: 0.0000 0.6746 0.7764
Si: 0.2417 0.9014 0.7920
Si: 0.2583 0.0986 0.2920
Si: 0.5000 0.3254 0.2764
Si: 0.7417 0.0986 0.2920
Si: 0.7583 0.9014 0.7920

Properties
Energy ... -3.0998 eV per atom
Formation energy from raw total energies ... 0.2487 eV/atom
Density ... 4.6 g/cm3
Space group ... No. 31

---

Record 3
This record from the Alexandria database describes a geometry-optimized ZnSi2 structure. The functional is PBE-GGA.

Lattice parameters (Å, degrees): 2.6839 2.6839 7.3751 90.00 90.00 120.00
Fractional coordinates of all 3 atoms:
Zn: 0.0000 0.0000 0.0000
Si: 0.3333 0.6667 0.3498
Si: 0.6667 0.3333 0.6502

Properties
Energy ... -3.6471 eV per atom
Formation energy from raw total energies ... 0.3929 eV/atom
Density ... 4.4 g/cm3
Space group ... No. 164

---

Record 4
This record from the Alexandria database describes a geometry-optimized ZnSi structure. The functional is PBE-GGA.

Lattice parameters (Å, degrees): 5.3682 5.3682 4.2681 90.00 90.00 120.00
Fractional coordinates of all 6 atoms:
Zn: 0.0000 0.5000 0.0000
Zn: 0.5000 0.0000 0.0000
Zn: 0.5000 0.5000 0.0000
Si: 0.0000 0.0000 0.0000
Si: 0.3333 0.6667 0.5000
Si: 0.6667 0.3333 0.5000

Properties
Energy ... -2.7947 eV per atom
Formation energy from raw total energies ... 0.5538 eV/atom
Density ... 4.4 g/cm3
Space group ... No. 191

---

Record 5
This record from the Alexandria database describes a geometry-optimized ZnSi structure. The functional is PBE-GGA.

Lattice parameters (Å, degrees): 2.7391 2.7391 7.9829 90.00 90.00 90.00
Fractional coordinates of all 4 atoms:
Zn: 0.2500 0.2500 0.1242
Zn: 0.7500 0.7500 0.8758
Si: 0.2500 0.2500 0.6236
Si: 0.7500 0.7500 0.3764

Properties
Energy ... -3.0616 eV per atom
Formation energy from raw total energies ... 0.2869 eV/atom
Density ... 5.2 g/cm3
Space group ... No. 129

---

Record 6
This record from the Alexandria database describes a geometry-optimized ZnSi3 structure. The functional is PBE-GGA.

Lattice parameters (Å, degrees): 4.8878 4.8878 4.8878 133.50 133.50 67.88
Fractional coordinates of all 4 atoms:
Zn: 0.0000 0.0000 0.0000
Si: 0.2500 0.7500 0.5000
Si: 0.5000 0.5000 0.0000
Si: 0.7500 0.2500 0.5000

Properties
Energy ... -3.9235 eV per atom
Formation energy from raw total energies ... 0.4622 eV/atom
Density ... 4.1 g/cm3
Space group ... No. 139
Excess energy over the best structure of this formula in the dataset ... 0.200 eV per atom

---

Record 7
This record from the Alexandria database describes a geometry-optimized ZnSi structure. The functional is PBE-GGA.

Lattice parameters (Å, degrees): 6.1223 6.1223 6.4500 112.83 112.83 25.63
Fractional coordinates of all 6 atoms:
Zn: 0.0000 0.0000 0.0000
Zn: 0.5115 0.5115 0.5672
Zn: 0.6702 0.6702 0.3327
Si: 0.1936 0.1936 0.8864
Si: 0.3224 0.3224 0.6765
Si: 0.8529 0.8529 0.2094

Properties
Energy ... -3.0662 eV per atom
Formation energy from raw total energies ... 0.2823 eV/atom
Density ... 4.9 g/cm3
Space group ... No. 8

---

Record 8
This record from the Alexandria database describes a geometry-optimized ZnSi2 structure. The functional is PBE-GGA.

Lattice parameters (Å, degrees): 4.4608 4.4608 2.5520 90.00 90.00 114.33
Fractional coordinates of all 3 atoms:
Zn: 0.0000 0.0000 0.0000
Si: 0.3260 0.6740 0.5000
Si: 0.6740 0.3260 0.5000

Properties
Energy ... -3.6836 eV per atom
Formation energy from raw total energies ... 0.3564 eV/atom
Density ... 4.4 g/cm3
Space group ... No. 65

---

Record 9
This record from the Alexandria database describes a geometry-optimized Zn6Si structure. The functional is PBE-GGA.

Lattice parameters (Å, degrees): 5.9563 5.9563 5.9563 109.47 109.47 109.47
Fractional coordinates of all 7 atoms:
Zn: 0.2500 0.5000 0.7500
Zn: 0.2500 0.7500 0.5000
Zn: 0.5000 0.2500 0.7500
Zn: 0.5000 0.7500 0.2500
Zn: 0.7500 0.2500 0.5000
Zn: 0.7500 0.5000 0.2500
Si: 0.0000 0.0000 0.0000

Properties
Energy ... -1.1265 eV per atom
Formation energy from raw total energies ... 0.7402 eV/atom
Density ... 4.3 g/cm3
Space group ... No. 229

---

Record 10
This record from the Alexandria database describes a geometry-optimized Zn2Si structure. The functional is PBE-GGA.

Lattice parameters (Å, degrees): 11.9955 11.9955 11.9955 166.37 166.37 19.32
Fractional coordinates of all 6 atoms:
Zn: 0.2963 0.5463 0.7500
Zn: 0.4537 0.7037 0.7500
Zn: 0.5463 0.2963 0.2500
Zn: 0.7037 0.4537 0.2500
Si: 0.1250 0.8750 0.2500
Si: 0.8750 0.1250 0.7500

Properties
Energy ... -2.4125 eV per atom
Formation energy from raw total energies ... 0.2445 eV/atom
Density ... 5.5 g/cm3
Space group ... No. 141

---

Record 11
This record from the Alexandria database describes a geometry-optimized Zn3Si4 structure. The functional is PBE-GGA.

Lattice parameters (Å, degrees): 9.8533 9.8533 9.8533 160.04 160.04 28.37
Fractional coordinates of all 7 atoms:
Zn: 0.0000 0.0000 0.0000
Zn: 0.2781 0.2781 0.0000
Zn: 0.7219 0.7219 0.0000
Si: 0.1354 0.1354 0.0000
Si: 0.4118 0.4118 0.0000
Si: 0.5882 0.5882 0.0000
Si: 0.8646 0.8646 0.0000

Properties
Energy ... -3.2880 eV per atom
Formation energy from raw total energies ... 0.3568 eV/atom
Density ... 4.6 g/cm3
Space group ... No. 139

---

Record 12
This record from the Alexandria database describes a geometry-optimized ZnSi structure. The functional is PBE-GGA.

Lattice parameters (Å, degrees): 4.9151 4.9151 5.1961 90.00 90.00 90.00
Fractional coordinates of all 6 atoms:
Zn: 0.0000 0.0000 0.0000
Zn: 0.0000 0.5000 0.5000
Zn: 0.5000 0.0000 0.5000
Si: 0.0000 0.0000 0.5000
Si: 0.0000 0.5000 0.0000
Si: 0.5000 0.0000 0.0000

Properties
Energy ... -2.7055 eV per atom
Formation energy from raw total energies ... 0.6430 eV/atom
Density ... 3.7 g/cm3
Space group ... No. 123

---

Record 13
This record from the Alexandria database describes a geometry-optimized ZnSi structure. The functional is PBE-GGA.

Lattice parameters (Å, degrees): 6.0604 6.0604 6.0604 156.27 132.93 53.38
Fractional coordinates of all 4 atoms:
Zn: 0.3535 0.1035 0.2500
Zn: 0.6465 0.8965 0.7500
Si: 0.1073 0.3573 0.7500
Si: 0.8927 0.6427 0.2500

Properties
Energy ... -3.0278 eV per atom
Formation energy from raw total energies ... 0.3207 eV/atom
Density ... 4.8 g/cm3
Space group ... No. 74

---

Record 14
This record from the Alexandria database describes a geometry-optimized ZnSi2 structure. The functional is PBE-GGA.

Lattice parameters (Å, degrees): 8.4322 8.4322 8.4322 155.67 155.67 34.67
Fractional coordinates of all 6 atoms:
Zn: 0.3750 0.6250 0.7500
Zn: 0.6250 0.3750 0.2500
Si: 0.0488 0.7988 0.2500
Si: 0.2012 0.9512 0.2500
Si: 0.7988 0.0488 0.7500
Si: 0.9512 0.2012 0.7500

Properties
Energy ... -3.6206 eV per atom
Formation energy from raw total energies ... 0.4194 eV/atom
Density ... 4.0 g/cm3
Space group ... No. 141

---

Record 15
This record from the Alexandria database describes a geometry-optimized ZnSi2 structure. The functional is PBE-GGA.

Lattice parameters (Å, degrees): 4.3762 4.3762 5.7187 90.00 90.00 120.00
Fractional coordinates of all 6 atoms:
Zn: 0.3333 0.6667 0.2500
Zn: 0.6667 0.3333 0.7500
Si: 0.0000 0.0000 0.0000
Si: 0.0000 0.0000 0.5000
Si: 0.3333 0.6667 0.7500
Si: 0.6667 0.3333 0.2500

Properties
Energy ... -3.5403 eV per atom
Formation energy from raw total energies ... 0.4997 eV/atom
Density ... 4.3 g/cm3
Space group ... No. 194

---

Record 16
This record from the Alexandria database describes a geometry-optimized Zn3Si4 structure. The functional is PBE-GGA.

Lattice parameters (Å, degrees): 5.1147 5.1147 5.1147 90.00 90.00 90.00
Fractional coordinates of all 7 atoms:
Zn: 0.0000 0.0000 0.5000
Zn: 0.0000 0.5000 0.0000
Zn: 0.5000 0.0000 0.0000
Si: 0.3274 0.3274 0.3274
Si: 0.3274 0.6726 0.6726
Si: 0.6726 0.3274 0.6726
Si: 0.6726 0.6726 0.3274

Properties
Energy ... -3.2064 eV per atom
Formation energy from raw total energies ... 0.4385 eV/atom
Density ... 3.8 g/cm3
Space group ... No. 215

---

Record 17
This record from the Alexandria database describes a geometry-optimized Zn6Si7 structure. The functional is PBE-GGA.

Lattice parameters (Å, degrees): 10.7093 10.7093 10.7093 26.33 26.33 26.33
Fractional coordinates of all 13 atoms:
Zn: 0.0402 0.0402 0.0402
Zn: 0.1700 0.1700 0.1700
Zn: 0.3330 0.3330 0.3330
Zn: 0.6670 0.6670 0.6670
Zn: 0.8300 0.8300 0.8300
Zn: 0.9598 0.9598 0.9598
Si: 0.0867 0.5842 0.5842
Si: 0.4158 0.4158 0.9133
Si: 0.4158 0.9133 0.4158
Si: 0.5000 0.5000 0.5000
Si: 0.5842 0.0867 0.5842
Si: 0.5842 0.5842 0.0867
Si: 0.9133 0.4158 0.4158

Properties
Energy ... -3.1503 eV per atom
Formation energy from raw total energies ... 0.3578 eV/atom
Density ... 4.6 g/cm3
Space group ... No. 166

---

Record 18
This record from the Alexandria database describes a geometry-optimized ZnSi structure. The functional is PBE-GGA.

Lattice parameters (Å, degrees): 9.5941 9.5941 3.7268 90.00 90.00 120.00
Fractional coordinates of all 12 atoms:
Zn: 0.1914 0.7196 0.2500
Zn: 0.2804 0.4718 0.2500
Zn: 0.4718 0.1914 0.7500
Zn: 0.5282 0.8086 0.2500
Zn: 0.7196 0.5282 0.7500
Zn: 0.8086 0.2804 0.7500
Si: 0.0104 0.4189 0.2500
Si: 0.4085 0.9896 0.2500
Si: 0.4189 0.4085 0.7500
Si: 0.5811 0.5915 0.2500
Si: 0.5915 0.0104 0.7500
Si: 0.9896 0.5811 0.7500

Properties
Energy ... -3.0529 eV per atom
Formation energy from raw total energies ... 0.2956 eV/atom
Density ... 3.1 g/cm3
Space group ... No. 176

---

Record 19
This record from the Alexandria database describes a geometry-optimized Zn3Si4 structure. The functional is PBE-GGA.

Lattice parameters (Å, degrees): 4.9252 4.9252 5.3340 90.00 90.00 120.00
Fractional coordinates of all 7 atoms:
Zn: 0.0000 0.5000 0.0000
Zn: 0.5000 0.0000 0.0000
Zn: 0.5000 0.5000 0.0000
Si: 0.0000 0.0000 0.2734
Si: 0.0000 0.0000 0.7266
Si: 0.3333 0.6667 0.5000
Si: 0.6667 0.3333 0.5000

Properties
Energy ... -3.1875 eV per atom
Formation energy from raw total energies ... 0.4573 eV/atom
Density ... 4.6 g/cm3
Space group ... No. 191

---

Record 20
This record from the Alexandria database describes a geometry-optimized ZnSi2 structure. The functional is PBE-GGA.

Lattice parameters (Å, degrees): 6.3530 6.3530 5.5868 90.00 90.00 120.00
Fractional coordinates of all 9 atoms:
Zn: 0.0000 0.0000 0.0000
Zn: 0.3333 0.6667 0.5000
Zn: 0.6667 0.3333 0.5000
Si: 0.0000 0.2583 0.3369
Si: 0.0000 0.7417 0.6631
Si: 0.2583 0.0000 0.3369
Si: 0.2583 0.2583 0.6631
Si: 0.7417 0.0000 0.6631
Si: 0.7417 0.7417 0.3369

Properties
Energy ... -3.6258 eV per atom
Formation energy from raw total energies ... 0.4142 eV/atom
Density ... 3.1 g/cm3
Space group ... No. 162

---

Record 21
This record from the Alexandria database describes a geometry-optimized ZnSi structure. The functional is PBE-GGA.

Lattice parameters (Å, degrees): 8.8808 8.8808 3.6644 90.00 90.00 90.00
Fractional coordinates of all 16 atoms:
Zn: 0.0430 0.7956 0.0000
Zn: 0.2044 0.0430 0.0000
Zn: 0.2965 0.5461 0.5000
Zn: 0.4539 0.2965 0.5000
Zn: 0.5461 0.7035 0.5000
Zn: 0.7035 0.4539 0.5000
Zn: 0.7956 0.9570 0.0000
Zn: 0.9570 0.2044 0.0000
Si: 0.1216 0.4478 0.0000
Si: 0.1728 0.2703 0.5000
Si: 0.2703 0.8272 0.5000
Si: 0.4478 0.8784 0.0000
Si: 0.5522 0.1216 0.0000
Si: 0.7297 0.1728 0.5000
Si: 0.8272 0.7297 0.5000
Si: 0.8784 0.5522 0.0000

Properties
Energy ... -3.0634 eV per atom
Formation energy from raw total energies ... 0.2851 eV/atom
Density ... 4.3 g/cm3
Space group ... No. 83

---

Record 22
This record from the Alexandria database describes a geometry-optimized Zn2Si structure. The functional is PBE-GGA.

Lattice parameters (Å, degrees): 6.9567 6.9567 3.7092 90.00 90.00 120.00
Fractional coordinates of all 9 atoms:
Zn: 0.0000 0.3405 0.2181
Zn: 0.0000 0.6595 0.7819
Zn: 0.3405 0.0000 0.2181
Zn: 0.3405 0.3405 0.7819
Zn: 0.6595 0.0000 0.7819
Zn: 0.6595 0.6595 0.2181
Si: 0.0000 0.0000 0.0000
Si: 0.3333 0.6667 0.5000
Si: 0.6667 0.3333 0.5000

Properties
Energy ... -2.3731 eV per atom
Formation energy from raw total energies ... 0.2839 eV/atom
Density ... 5.1 g/cm3
Space group ... No. 162

---

Record 23
This record from the Alexandria database describes a geometry-optimized Zn2Si structure. The functional is PBE-GGA.

Lattice parameters (Å, degrees): 7.4053 7.4053 7.4053 20.95 20.95 20.95
Fractional coordinates of all 3 atoms:
Zn: 0.2225 0.2225 0.2225
Zn: 0.7775 0.7775 0.7775
Si: 0.0000 0.0000 0.0000

Properties
Energy ... -2.4807 eV per atom
Formation energy from raw total energies ... 0.1763 eV/atom
Density ... 5.8 g/cm3
Space group ... No. 166

---

Record 24
This record from the Alexandria database describes a geometry-optimized ZnSi2 structure. The functional is PBE-GGA.

Lattice parameters (Å, degrees): 4.9067 4.9067 4.6230 90.00 90.00 59.34
Fractional coordinates of all 6 atoms:
Zn: 0.2483 0.7517 0.7500
Zn: 0.7517 0.2483 0.2500
Si: 0.0585 0.5568 0.2500
Si: 0.4432 0.9415 0.2500
Si: 0.5568 0.0585 0.7500
Si: 0.9415 0.4432 0.7500

Properties
Energy ... -3.6304 eV per atom
Formation energy from raw total energies ... 0.4096 eV/atom
Density ... 4.2 g/cm3
Space group ... No. 63

---

Record 25
This record from the Alexandria database describes a geometry-optimized ZnSi structure. The functional is PBE-GGA.

Lattice parameters (Å, degrees): 5.4424 5.4424 4.1872 90.00 90.00 120.00
Fractional coordinates of all 6 atoms:
Zn: 0.0000 0.0000 0.0000
Zn: 0.3333 0.6667 0.5000
Zn: 0.6667 0.3333 0.5000
Si: 0.0000 0.5000 0.0000
Si: 0.5000 0.0000 0.0000
Si: 0.5000 0.5000 0.0000

Properties
Energy ... -2.9941 eV per atom
Formation energy from raw total energies ... 0.3544 eV/atom
Density ... 4.3 g/cm3
Space group ... No. 191

---

Record 26
This record from the Alexandria database describes a geometry-optimized ZnSi3 structure. The functional is PBE-GGA.

Lattice parameters (Å, degrees): 5.2845 5.2845 5.2845 117.41 117.41 117.41
Fractional coordinates of all 4 atoms:
Zn: 0.0000 0.0000 0.0000
Si: 0.0000 0.5000 0.5000
Si: 0.5000 0.0000 0.5000
Si: 0.5000 0.5000 0.0000

Properties
Energy ... -3.9238 eV per atom
Formation energy from raw total energies ... 0.4619 eV/atom
Density ... 4.1 g/cm3
Space group ... No. 166
Excess energy over the best structure of this formula in the dataset ... 0.199 eV per atom